Material: TiP3C
Method: DFT, PBE
State: relaxed

```
TiP3C
1.0
-0.759 -4.586 0.215
4.540 -0.718 0.727
-0.683 0.328 4.591
P C Ti
3 1 1
direct
0.000 0.500 0.000 P
0.000 0.000 0.500 P
0.500 0.000 0.000 P
0.500 0.500 0.500 C
0.000 0.000 0.000 Ti
```

Properties
- relative energy among the computed polymorphs (eV per atom) = 0.913
- space group = Pm-3m
- Fermi-level density of states (states/eV per cell) = 4.47
- uncorrected energy (eV/atom) = -5.047
- theoretical density (g cm⁻³) = 2.52
- total magnetic moment (μB per formula unit) = 1.4
- energy of formation from the pure elements (eV/atom) = 1.623